No. 1
Here is a geometry-optimized TbDy4Al structure from Alexandria via LeMat-Bulk. Energies are from PBE.

```
data_TbDy4Al
_chemical_formula_sum 'Tb1 Dy4 Al1'
_cell_length_a 3.530
_cell_length_b 3.530
_cell_length_c 14.004
_cell_angle_alpha 90.00
_cell_angle_beta 90.00
_cell_angle_gamma 90.00
_space_group_name_H-M_alt 'P 1'
_space_group_IT_number 1
_space_group_name_Hall 'P 1'
loop_
_atom_site_label
_atom_site_type_symbol
_atom_site_fract_x
_atom_site_fract_y
_atom_site_fract_z
Tb1 Tb 0.000 0.000 0.000
Dy1 Dy 0.000 0.000 0.364
Dy2 Dy 0.000 0.000 0.636
Dy3 Dy 0.500 0.500 0.180
Dy4 Dy 0.500 0.500 0.820
Al1 Al 0.500 0.500 0.500
```



No. 2
Here is a geometry-optimized TbDyThAl structure from Alexandria via LeMat-Bulk. Energies are from PBE.

```
data_TbDyThAl
_chemical_formula_sum 'Tb1 Dy1 Th1 Al1'
_cell_length_a 5.384
_cell_length_b 5.384
_cell_length_c 5.384
_cell_angle_alpha 60.00
_cell_angle_beta 60.00
_cell_angle_gamma 60.00
_space_group_name_H-M_alt 'P 1'
_space_group_IT_number 1
_space_group_name_Hall 'P 1'
loop_
_atom_site_label
_atom_site_type_symbol
_atom_site_fract_x
_atom_site_fract_y
_atom_site_fract_z
Tb1 Tb 0.000 0.000 0.000
Dy1 Dy 0.250 0.250 0.250
Th1 Th 0.750 0.750 0.750
Al1 Al 0.500 0.500 0.500
```



No. 3
Here is a geometry-optimized TbDyTiAl structure from Alexandria via LeMat-Bulk. Energies are from PBE.

```
data_TbDyTiAl
_chemical_formula_sum 'Tb1 Dy1 Ti1 Al1'
_cell_length_a 5.147
_cell_length_b 5.147
_cell_length_c 5.147
_cell_angle_alpha 60.00
_cell_angle_beta 60.00
_cell_angle_gamma 60.00
_space_group_name_H-M_alt 'P 1'
_space_group_IT_number 1
_space_group_name_Hall 'P 1'
loop_
_atom_site_label
_atom_site_type_symbol
_atom_site_fract_x
_atom_site_fract_y
_atom_site_fract_z
Tb1 Tb 0.000 0.000 0.000
Dy1 Dy 0.500 0.500 0.500
Ti1 Ti 0.250 0.250 0.250
Al1 Al 0.750 0.750 0.750
```



No. 4
Here is a geometry-optimized TbDyAl2Zn2 structure from Alexandria via LeMat-Bulk. Energies are from PBE.

```
data_TbDyAl2Zn2
_chemical_formula_sum 'Tb1 Dy1 Al2 Zn2'
_cell_length_a 4.485
_cell_length_b 4.485
_cell_length_c 7.202
_cell_angle_alpha 90.00
_cell_angle_beta 90.00
_cell_angle_gamma 120.00
_space_group_name_H-M_alt 'P 1'
_space_group_IT_number 1
_space_group_name_Hall 'P 1'
loop_
_atom_site_label
_atom_site_type_symbol
_atom_site_fract_x
_atom_site_fract_y
_atom_site_fract_z
Tb1 Tb 0.000 0.000 0.000
Dy1 Dy 0.000 0.000 0.500
Al1 Al 0.333 0.667 0.254
Al2 Al 0.667 0.333 0.746
Zn1 Zn 0.333 0.667 0.744
Zn2 Zn 0.667 0.333 0.256
```



No. 5
Here is a geometry-optimized TbDy2Al2Zn2 structure from Alexandria via LeMat-Bulk. Energies are from PBE.

```
data_TbDy2Al2Zn2
_chemical_formula_sum 'Tb1 Dy2 Al2 Zn2'
_cell_length_a 9.429
_cell_length_b 9.429
_cell_length_c 9.429
_cell_angle_alpha 27.66
_cell_angle_beta 27.66
_cell_angle_gamma 27.66
_space_group_name_H-M_alt 'P 1'
_space_group_IT_number 1
_space_group_name_Hall 'P 1'
loop_
_atom_site_label
_atom_site_type_symbol
_atom_site_fract_x
_atom_site_fract_y
_atom_site_fract_z
Tb1 Tb 0.000 0.000 0.000
Dy1 Dy 0.128 0.128 0.128
Dy2 Dy 0.872 0.872 0.872
Al1 Al 0.263 0.263 0.263
Al2 Al 0.737 0.737 0.737
Zn1 Zn 0.399 0.399 0.399
Zn2 Zn 0.601 0.601 0.601
```



No. 6
Here is a geometry-optimized TbDyAlZn structure from Alexandria via LeMat-Bulk. Energies are from PBE.

```
data_TbDyAlZn
_chemical_formula_sum 'Tb1 Dy1 Al1 Zn1'
_cell_length_a 5.092
_cell_length_b 5.092
_cell_length_c 5.092
_cell_angle_alpha 60.00
_cell_angle_beta 60.00
_cell_angle_gamma 60.00
_space_group_name_H-M_alt 'P 1'
_space_group_IT_number 1
_space_group_name_Hall 'P 1'
loop_
_atom_site_label
_atom_site_type_symbol
_atom_site_fract_x
_atom_site_fract_y
_atom_site_fract_z
Tb1 Tb 0.000 0.000 0.000
Dy1 Dy 0.500 0.500 0.500
Al1 Al 0.750 0.750 0.750
Zn1 Zn 0.250 0.250 0.250
```



Looking at ΔH_f (0 K) for the records above, in order, we have -0.72, -0.07, -0.19, -2.72, -2.19, -1.50 eV/f.u..
Looking at energy for the records above, in order, we have -4.58, -5.12, -5.27, -3.66, -3.72, -3.94 eV per atom.
Looking at N(E_F) for the records above, in order, we have 6.53, 5.75, 5.13, 3.41, 3.25, 2.90 states/eV per cell.